Computed, not measured: crystalline LaPm4S5 at its relaxed geometry at the PBE-GGA level of DFT.

abc: 4.0552 5.7382 20.3107
angles: 90.00 90.00 90.00
With the nearest neighbours (Å) after each atom.
Space group Immm (No. 71)
One atom of each set of equivalent atoms:
La1 0.0000 0.0000 0.0000 [2 per cell]  6 S 2.87-2.91
Pm1 0.0000 0.0000 0.2010 [4 per cell]  6 S 2.84-2.87
Pm2 0.0000 0.0000 0.3997 [4 per cell]  6 S 2.86-2.87
S1 0.0000 0.5000 0.0000 [2 per cell]  2 La 2.87, 4 Pm 2.87
S2 0.0000 0.5000 0.1997 [4 per cell]  6 Pm 2.86-2.87
S3 0.0000 0.5000 0.3970 [4 per cell]  4 Pm 2.84-2.87, 2 La 2.91

Output
Its total magnetization is 0.000 μB/cell. The uncorrected formation energy is -2056 meV/atom.


Computed, not measured: crystalline ZrTlNi2 at its relaxed geometry at the PBE-GGA level of DFT.

abc: 4.0161 3.5393 9.5811
angles: 90.00 90.00 90.00
With the nearest neighbours (Å) after each atom.
Space group Amm2 (No. 38)
One atom of each set of equivalent atoms:
Zr1 0.0000 0.0000 0.0000 [2 per cell]  7 Ni 2.70-2.76
Tl1 0.5000 0.0000 0.2917 [2 per cell]  7 Ni 2.65-2.78
Ni1 0.0000 0.0000 0.7126 [2 per cell]  2 Ni 2.44, 2 Zr 2.70
Ni2 0.5000 0.0000 0.5683 [2 per cell]  2 Ni 2.44, 1 Tl 2.65

Output
The calculation puts the formation enthalpy at 0 K at -0.4 eV/f.u. Its total magnetization is 0.000 μB/cell.


Computed, not measured: crystalline NaNi2Pb2 at its relaxed geometry at the PBE-GGA level of DFT.

abc: 4.9366 4.9366 8.9437
angles: 90.00 90.00 90.00
With the nearest neighbours (Å) after each atom.
Space group I4/mmm (No. 139)
One atom of each set of equivalent atoms:
Na1 0.0000 0.0000 0.0000 [2 per cell]  10 Ni 3.31-3.68, 8 Pb 3.33
Ni1 0.0000 0.0000 0.3706 [4 per cell]  1 Ni 2.31
Pb1 0.0000 0.5000 0.2500 [4 per cell]  4 Ni 2.69

Output
The energy above the lowest structure with this stoichiometry is 102 meV per atom. The calculation puts the formation enthalpy at 0 K at 0.9 eV/f.u. Its total magnetization is 0.000 μB/cell.


Computed, not measured: crystalline Pr5NdY5 at its relaxed geometry at the PBE-GGA level of DFT.

abc: 18.7547 6.1531 7.0442
angles: 90.00 108.09 90.00
With the nearest neighbours (Å) after each atom.
Space group C2/m (No. 12)
One atom of each set of equivalent atoms:
Pr1 0.0000 0.0000 0.0000 [2 per cell]  2 Nd 3.52, 4 Y 3.57-3.65, 4 Pr 3.83
Pr2 0.1267 0.5000 0.1499 [4 per cell]  4 Pr 3.58-3.83, 6 Y 3.58-3.92
Pr3 0.1734 0.5000 0.6947 [4 per cell]  5 Y 3.11-3.43
Nd1 0.0000 0.0000 0.5000 [2 per cell]  2 Y 3.08
Y1 0.0000 0.5000 0.5000 [2 per cell]  2 Nd 3.08, 2 Pr 3.11
Y2 0.1733 0.0000 0.4199 [4 per cell]  3 Pr 3.22-3.58, 2 Y 3.46-3.59, 1 Nd 3.47
Y3 0.1780 0.0000 0.9147 [4 per cell]  4 Pr 3.25-3.57, 2 Y 3.46-3.59

Output
The energy above the lowest structure with this stoichiometry is 0 meV per atom. The calculation puts the formation enthalpy at 0 K at 2.7 eV/f.u. Its total magnetization is 1.395 μB/cell.


Computed, not measured: crystalline Ti2Al2W at its relaxed geometry at the PBE-GGA level of DFT.

abc: 6.8766 6.8766 3.4091
angles: 90.00 90.00 90.00
With the nearest neighbours (Å) after each atom.
Space group P4/mbm (No. 127)
One atom of each set of equivalent atoms:
Ti1 0.1748 0.3252 0.0000 [4 per cell]  6 Al 2.56-2.71
Al1 0.1287 0.6287 0.5000 [4 per cell]  1 Al 2.50, 6 Ti 2.56-2.71, 2 W 2.70
W1 0.0000 0.0000 0.5000 [2 per cell]  4 Al 2.70

Output
The energy above the lowest structure with this stoichiometry is 82 meV per atom. The calculation puts the formation enthalpy at 0 K at -0.8 eV/f.u. Its total magnetization is 0.000 μB/cell.


Computed, not measured: crystalline Ac8LaY2 at its relaxed geometry at the PBE-GGA level of DFT.

abc: 18.1118 9.1842 5.9734
angles: 90.00 109.21 90.00
With the nearest neighbours (Å) after each atom.
Space group C2/m (No. 12)
One atom of each set of equivalent atoms:
Ac1 0.0000 0.2021 0.0000 [4 per cell]  7 Ac 3.71-3.88, 2 Y 3.89, 2 La 4.05
Ac2 0.1442 0.2062 0.6442 [8 per cell]  1 La 3.66, 3 Y 3.66-3.79, 6 Ac 3.79-4.03
Ac3 0.1593 0.5000 0.1594 [4 per cell]  2 Y 3.83-3.84, 8 Ac 3.86-4.03, 2 La 4.04
La1 0.0000 0.5000 0.5000 [2 per cell]  12 Ac 3.66-4.05
Y1 0.2001 0.0000 0.1999 [4 per cell]  10 Ac 3.66-3.89

Output
The calculation puts the formation enthalpy at 0 K at 1.3 eV/f.u. Its total magnetization is 0.000 μB/cell.


> What is the formula in the third record?

NaNi2Pb2